Entry 1:
VASP calculation (GGA-PBE) on a relaxed Mn2PbSe crystal.

a b c (Å): 6.7595 6.7595 6.7595
angles (deg): 90.00 90.00 90.00
With the nearest neighbours (Å) after each atom.
Sites, in units of the cell vectors:
Mn: 0.2500 0.2500 0.2500  4 Se 2.93, 4 Pb 2.93
Mn: 0.2500 0.2500 0.7500  4 Se 2.93, 4 Pb 2.93
Mn: 0.2500 0.7500 0.2500  4 Se 2.93, 4 Pb 2.93
Mn: 0.2500 0.7500 0.7500  4 Se 2.93, 4 Pb 2.93
Mn: 0.7500 0.2500 0.2500  4 Se 2.93, 4 Pb 2.93
Mn: 0.7500 0.2500 0.7500  4 Se 2.93, 4 Pb 2.93
Mn: 0.7500 0.7500 0.2500  4 Se 2.93, 4 Pb 2.93
Mn: 0.7500 0.7500 0.7500  4 Se 2.93, 4 Pb 2.93
Pb: 0.0000 0.0000 0.0000  8 Mn 2.93
Pb: 0.0000 0.5000 0.5000  8 Mn 2.93
Pb: 0.5000 0.0000 0.5000  8 Mn 2.93
Pb: 0.5000 0.5000 0.0000  8 Mn 2.93
Se: 0.0000 0.0000 0.5000  8 Mn 2.93
Se: 0.0000 0.5000 0.0000  8 Mn 2.93
Se: 0.5000 0.0000 0.0000  8 Mn 2.93
Se: 0.5000 0.5000 0.5000  8 Mn 2.93

Symmetry: Fm-3m
Energy relative to the lowest polymorph listed for this composition (meV per atom): 284

=====

Entry 2:
VASP calculation (GGA-PBE) on a relaxed Mn3PbSe crystal.

a b c (Å): 5.2517 5.2517 5.2517
angles (deg): 90.00 90.00 90.00
With the nearest neighbours (Å) after each atom.
Sites, in units of the cell vectors:
Mn: 0.0000 0.0000 0.5000  2 Pb 2.63
Mn: 0.0000 0.5000 0.0000  2 Pb 2.63
Mn: 0.5000 0.0000 0.0000  2 Pb 2.63
Pb: 0.0000 0.0000 0.0000  6 Mn 2.63
Se: 0.5000 0.5000 0.5000  12 Mn 3.71

Symmetry: Pm-3m
Energy relative to the lowest polymorph listed for this composition (meV per atom): 643

=====

Entry 3:
VASP calculation (GGA-PBE) on a relaxed Mn2PbSe crystal.

a b c (Å): 3.4896 4.0600 6.4014
angles (deg): 90.00 90.00 90.00
With the nearest neighbours (Å) after each atom.
Sites, in units of the cell vectors:
Mn: 0.0000 0.0000 0.2192  2 Se 2.50
Mn: 0.0000 0.0000 0.7808  2 Se 2.50
Pb: 0.5000 0.5000 0.0000  8 Mn 3.02
Se: 0.5000 0.0000 0.5000  4 Mn 2.50

Symmetry: Pmmm
Energy relative to the lowest polymorph listed for this composition (meV per atom): 138

=====

Entry 4:
VASP calculation (GGA-PBE) on a relaxed MnPbSe2 crystal.

a b c (Å): 7.1481 7.1481 7.1481
angles (deg): 90.00 90.00 90.00
With the nearest neighbours (Å) after each atom.
Sites, in units of the cell vectors:
Mn: 0.0000 0.0000 0.0000  4 Se 3.10, 4 Pb 3.10
Mn: 0.0000 0.5000 0.5000  4 Se 3.10, 4 Pb 3.10
Mn: 0.5000 0.0000 0.5000  4 Se 3.10, 4 Pb 3.10
Mn: 0.5000 0.5000 0.0000  4 Se 3.10, 4 Pb 3.10
Pb: 0.2500 0.2500 0.2500  4 Mn 3.10, 4 Se 3.10
Pb: 0.2500 0.7500 0.7500  4 Mn 3.10, 4 Se 3.10
Pb: 0.7500 0.2500 0.7500  4 Mn 3.10, 4 Se 3.10
Pb: 0.7500 0.7500 0.2500  4 Mn 3.10, 4 Se 3.10
Se: 0.0000 0.0000 0.5000  4 Pb 3.10, 4 Se 3.10
Se: 0.0000 0.5000 0.0000  4 Pb 3.10, 4 Se 3.10
Se: 0.2500 0.2500 0.7500  4 Se 3.10, 4 Mn 3.10
Se: 0.2500 0.7500 0.2500  4 Se 3.10, 4 Mn 3.10
Se: 0.5000 0.0000 0.0000  4 Pb 3.10, 4 Se 3.10
Se: 0.5000 0.5000 0.5000  4 Pb 3.10, 4 Se 3.10
Se: 0.7500 0.2500 0.2500  4 Se 3.10, 4 Mn 3.10
Se: 0.7500 0.7500 0.7500  4 Se 3.10, 4 Mn 3.10

Symmetry: F-43m
Electronic total energy (eV/cell): -73.61

=====

Entry 5:
VASP calculation (GGA-PBE) on a relaxed MnPbSe2 crystal.

a b c (Å): 12.5061 3.5272 5.4949
angles (deg): 90.00 104.25 90.00
With the nearest neighbours (Å) after each atom.
Sites, in units of the cell vectors:
Mn: 0.0000 0.0000 0.0000  4 Se 2.44-2.49
Mn: 0.5000 0.5000 0.0000  4 Se 2.44-2.49
Pb: 0.3350 0.5000 0.3095  3 Se 2.92-3.14, 1 Mn 2.98
Pb: 0.8350 0.0000 0.3095  3 Se 2.92-3.14, 1 Mn 2.98
Se: 0.0983 0.5000 0.2731  2 Mn 2.44
Se: 0.3673 0.0000 0.7946  2 Mn 2.49
Se: 0.5983 0.0000 0.2731  2 Mn 2.44
Se: 0.8673 0.5000 0.7946  2 Mn 2.49

Symmetry: Cm
Electronic total energy (eV/cell): -41.57

=====

Entry 6:
VASP calculation (GGA-PBE) on a relaxed MnPbSe2 crystal.

a b c (Å): 3.0676 3.0676 9.1652
angles (deg): 90.00 90.00 90.00
With the nearest neighbours (Å) after each atom.
Sites, in units of the cell vectors:
Mn: 0.0000 0.0000 0.0000  4 Se 2.44
Pb: 0.5000 0.5000 0.2397  4 Pb 3.07, 4 Mn 3.09, 5 Se 3.31-3.39
Se: 0.0000 0.0000 0.5245  4 Se 3.07, 4 Pb 3.39
Se: 0.5000 0.5000 0.8790  4 Mn 2.44

Symmetry: P4mm
Electronic total energy (eV/cell): -19.13

=====

Entry 7:
VASP calculation (GGA-PBE) on a relaxed Mn2PbSe crystal.

a b c (Å): 6.1165 7.4621 3.6589
angles (deg): 90.00 104.19 90.00
With the nearest neighbours (Å) after each atom.
Sites, in units of the cell vectors:
Mn: 0.2500 0.2500 0.0000  2 Se 2.79, 2 Pb 2.79, 2 Mn 3.06
Mn: 0.2500 0.7500 0.0000  2 Se 2.79, 2 Pb 2.79, 2 Mn 3.06
Mn: 0.7500 0.2500 0.0000  2 Se 2.79, 2 Pb 2.79, 2 Mn 3.06
Mn: 0.7500 0.7500 0.0000  2 Pb 2.79, 2 Se 2.79, 2 Mn 3.06
Pb: 0.0000 0.0000 0.5000  4 Mn 2.79, 2 Se 3.06
Pb: 0.5000 0.5000 0.5000  4 Mn 2.79, 2 Se 3.06
Se: 0.0000 0.5000 0.5000  4 Mn 2.79, 2 Pb 3.06
Se: 0.5000 0.0000 0.5000  4 Mn 2.79, 2 Pb 3.06

Symmetry: C2/m
Energy relative to the lowest polymorph listed for this composition (meV per atom): 250

=====

Entry 8:
VASP calculation (GGA-PBE) on a relaxed MnPb2Se crystal.

a b c (Å): 7.3831 7.4153 3.6181
angles (deg): 90.00 90.00 90.00
With the nearest neighbours (Å) after each atom.
Sites, in units of the cell vectors:
Mn: 0.0000 0.0000 0.0000  8 Pb 3.18
Mn: 0.5000 0.5000 0.0000  8 Pb 3.18
Pb: 0.2500 0.2500 0.5000  4 Mn 3.18, 4 Se 3.18
Pb: 0.2500 0.7500 0.5000  4 Se 3.18, 4 Mn 3.18
Pb: 0.7500 0.2500 0.5000  4 Se 3.18, 4 Mn 3.18
Pb: 0.7500 0.7500 0.5000  4 Mn 3.18, 4 Se 3.18
Se: 0.0000 0.5000 0.0000  8 Pb 3.18
Se: 0.5000 0.0000 0.0000  8 Pb 3.18

Symmetry: Cmmm
Electronic total energy (eV/cell): -38.74

=====

Entry 9:
VASP calculation (GGA-PBE) on a relaxed Mn2PbSe crystal.

a b c (Å): 3.4021 3.5825 13.3426
angles (deg): 90.00 90.00 90.00
With the nearest neighbours (Å) after each atom.
Sites, in units of the cell vectors:
Mn: 0.0000 0.0000 0.0000  4 Se 2.57
Mn: 0.0000 0.5000 0.3120  2 Se 2.53
Mn: 0.5000 0.0000 0.8120  2 Se 2.53
Mn: 0.5000 0.5000 0.5000  4 Se 2.57
Pb: 0.0000 0.5000 0.6849  6 Mn 3.00
Pb: 0.5000 0.0000 0.1849  6 Mn 3.00
Se: 0.0000 0.0000 0.4456  6 Mn 2.53-2.57
Se: 0.5000 0.5000 0.9456  6 Mn 2.53-2.57

Symmetry: Imm2
Energy relative to the lowest polymorph listed for this composition (meV per atom): 71

=====

Entry 10:
VASP calculation (GGA-PBE) on a relaxed MnPb2Se crystal.

a b c (Å): 3.7802 4.9133 5.5155
angles (deg): 90.00 90.00 90.00
With the nearest neighbours (Å) after each atom.
Sites, in units of the cell vectors:
Mn: 0.0000 0.0000 0.0000  4 Pb 3.10, 4 Se 3.34
Pb: 0.0000 0.5000 0.5000  4 Se 3.10, 4 Pb 3.34
Pb: 0.5000 0.5000 0.0000  4 Mn 3.10, 4 Pb 3.34
Se: 0.5000 0.0000 0.5000  4 Pb 3.10, 4 Mn 3.34

Symmetry: Pmmm
Electronic total energy (eV/cell): -19.12

=====

Entry 11:
VASP calculation (GGA-PBE) on a relaxed Mn4PbSe8 crystal.

a b c (Å): 8.4121 8.4121 8.4121
angles (deg): 51.34 51.34 51.34
With the nearest neighbours (Å) after each atom.
Sites, in units of the cell vectors:
Mn: 0.0000 0.0000 0.0000  6 Se 2.55
Mn: 0.0000 0.5000 0.5000  6 Se 2.51-2.53
Mn: 0.5000 0.0000 0.5000  6 Se 2.51-2.53
Mn: 0.5000 0.5000 0.0000  6 Se 2.51-2.53
Pb: 0.5000 0.5000 0.5000  6 Se 3.05
Se: 0.2327 0.2327 0.7297  3 Mn 2.53-2.55
Se: 0.2327 0.7297 0.2327  3 Mn 2.53-2.55
Se: 0.2703 0.7673 0.7673  3 Mn 2.53-2.55
Se: 0.2707 0.2707 0.2707  3 Mn 2.51
Se: 0.7293 0.7293 0.7293  3 Mn 2.51
Se: 0.7297 0.2327 0.2327  3 Mn 2.53-2.55
Se: 0.7673 0.2703 0.7673  3 Mn 2.53-2.55
Se: 0.7673 0.7673 0.2703  3 Mn 2.53-2.55

Symmetry: R-3m
Electronic total energy (eV/cell): -74.08

=====

Entry 12:
VASP calculation (GGA-PBE) on a relaxed Mn3PbSe crystal.

a b c (Å): 4.6350 4.6350 4.6350
angles (deg): 90.00 90.00 90.00
With the nearest neighbours (Å) after each atom.
Sites, in units of the cell vectors:
Mn: 0.0000 0.0000 0.5000  2 Se 2.32
Mn: 0.0000 0.5000 0.0000  2 Se 2.32
Mn: 0.5000 0.0000 0.0000  2 Se 2.32
Pb: 0.5000 0.5000 0.5000  12 Mn 3.28
Se: 0.0000 0.0000 0.0000  6 Mn 2.32

Symmetry: Pm-3m
Energy relative to the lowest polymorph listed for this composition (meV per atom): 0